Record 1
# TaBeAl3

An optimized crystal structure of TaBeAl3 (PBEsol, Alexandria via LeMat-Bulk).

Values from the calculation:
Volume   15.49 Å³/atom
DFT formation energy   3.5 eV/f.u.

Lattice parameters (Å, degrees): 4.263 4.263 4.263 90.00 90.00 90.00
Element x y z (fractional)
Ta  0.000  0.000  0.000
Be  0.500  0.500  0.500
Al  0.000  0.500  0.500
Al  0.500  0.000  0.500
Al  0.500  0.500  0.000

***

Record 2
# TaBeAl2

An optimized crystal structure of TaBeAl2 (PBEsol, Alexandria via LeMat-Bulk).

Values from the calculation:
Volume   14.65 Å³/atom
DFT formation energy   0.1 eV/f.u.

Lattice parameters (Å, degrees): 2.886 3.742 5.424 90.00 90.00 90.00
Element x y z (fractional)
Ta  0.000  0.000  0.000
Be  0.500  0.500  0.759
Al  0.000  0.000  0.516
Al  0.500  0.500  0.254

***

Record 3
# TaBeAl2

An optimized crystal structure of TaBeAl2 (PBEsol, Alexandria via LeMat-Bulk).

Values from the calculation:
Volume   14.18 Å³/atom
DFT formation energy   0.2 eV/f.u.

Lattice parameters (Å, degrees): 4.104 4.283 6.451 90.00 90.00 90.00
Element x y z (fractional)
Ta  0.000  0.000  0.000
Ta  0.500  0.500  0.000
Be  0.000  0.000  0.500
Be  0.500  0.500  0.500
Al  0.000  0.500  0.290
Al  0.000  0.500  0.710
Al  0.500  0.000  0.290
Al  0.500  0.000  0.710

***

Question: Number 2 is which compound?
Answer: TaBeAl2